#w
# GGA-PBE LaSmDy, relaxed
# Calculated density in Mg/m³: 7.3
# Density of states at the Fermi level in states/eV/atom: 1.589
data_LaSmDy
_cell_length_a 3.653
_cell_length_b 3.653
_cell_length_c 15.387
_cell_angle_alpha 90.00
_cell_angle_beta 90.00
_cell_angle_gamma 90.00
_space_group_name_H-M_alt 'I 4 m m'
_space_group_IT_number 107
_space_group_name_Hall 'I 4 -2'
loop_
_atom_site_label
_atom_site_fract_x
_atom_site_fract_y
_atom_site_fract_z
La1 0.000 0.000 0.000
Sm1 0.000 0.000 0.671
Dy1 0.000 0.000 0.332

#x
# GGA-PBE LaSmDy, relaxed
# Calculated density in Mg/m³: 7.3
# Density of states at the Fermi level in states/eV/atom: 2.380
data_LaSmDy
_cell_length_a 4.249
_cell_length_b 4.249
_cell_length_c 11.416
_cell_angle_alpha 90.00
_cell_angle_beta 90.00
_cell_angle_gamma 90.00
_space_group_name_H-M_alt 'P 4/n m m'
_space_group_IT_number 129
loop_
_space_group_symop_operation_xyz
'x,y,z'
'-x,-y,-z'
'-y+1/2,x,z'
'y+1/2,-x,-z'
'-x+1/2,-y+1/2,z'
'x+1/2,y+1/2,-z'
'y,-x+1/2,z'
'-y,x+1/2,-z'
'x+1/2,-y,-z'
'-x+1/2,y,z'
'-y,-x,-z'
'y,x,z'
'-x,y+1/2,-z'
'x,-y+1/2,z'
'y+1/2,x+1/2,-z'
'-y+1/2,-x+1/2,z'
loop_
_atom_site_label
_atom_site_fract_x
_atom_site_fract_y
_atom_site_fract_z
La1 0.250 0.250 0.095
Sm1 0.250 0.250 0.414
Dy1 0.250 0.250 0.739

Most stable structure: #w

#w
# GGA-PBE La2SmDy2, relaxed
# Calculated density in Mg/m³: 6.9
# Density of states at the Fermi level in states/eV/atom: 1.644
data_La2SmDy2
_cell_length_a 10.659
_cell_length_b 10.659
_cell_length_c 6.416
_cell_angle_alpha 90.00
_cell_angle_beta 90.00
_cell_angle_gamma 90.00
_space_group_name_H-M_alt 'I 4/m c m'
_space_group_IT_number 140
_space_group_name_Hall '-I 4 2c'
loop_
_atom_site_label
_atom_site_fract_x
_atom_site_fract_y
_atom_site_fract_z
La1 0.110 0.390 0.000
Sm1 0.000 0.000 0.250
Dy1 0.189 0.311 0.500

#x
# GGA-PBE La2SmDy2, relaxed
# Calculated density in Mg/m³: 7.1
# Density of states at the Fermi level in states/eV/atom: 1.308
data_La2SmDy2
_cell_length_a 8.677
_cell_length_b 13.433
_cell_length_c 6.414
_cell_angle_alpha 90.00
_cell_angle_beta 109.27
_cell_angle_gamma 90.00
_space_group_name_H-M_alt 'C 1 2/c 1'
_space_group_IT_number 15
loop_
_space_group_symop_operation_xyz
'x,y,z'
'-x,-y,-z'
'-x,y,-z+1/2'
'x,-y,z+1/2'
'x+1/2,y+1/2,z'
'-x+1/2,-y+1/2,-z'
'-x+1/2,y+1/2,-z+1/2'
'x+1/2,-y+1/2,z+1/2'
loop_
_atom_site_label
_atom_site_fract_x
_atom_site_fract_y
_atom_site_fract_z
La1 0.178 0.062 0.417
Sm1 0.000 0.428 0.750
Dy1 0.000 0.182 0.750
Dy2 0.000 0.303 0.250

Most stable structure: #x

#w
# GGA-PBE La5Sm3Dy, relaxed
# Calculated density in Mg/m³: 6.8
# Density of states at the Fermi level in states/eV/atom: 1.902
data_La5Sm3Dy
_cell_length_a 9.062
_cell_length_b 9.062
_cell_length_c 15.637
_cell_angle_alpha 90.00
_cell_angle_beta 90.00
_cell_angle_gamma 90.00
_space_group_name_H-M_alt 'I 4/m c m'
_space_group_IT_number 140
_space_group_name_Hall '-I 4 2c'
loop_
_atom_site_label
_atom_site_fract_x
_atom_site_fract_y
_atom_site_fract_z
La1 0.000 0.000 0.000
La2 0.208 0.292 0.140
Sm1 0.000 0.000 0.250
Sm2 0.115 0.385 0.500
Dy1 0.000 0.500 0.250

#x
# GGA-PBE La5Sm3Dy, relaxed
# Calculated density in Mg/m³: 6.6
# Density of states at the Fermi level in states/eV/atom: 1.399
data_La5Sm3Dy
_cell_length_a 20.586
_cell_length_b 6.430
_cell_length_c 11.849
_cell_angle_alpha 90.00
_cell_angle_beta 122.91
_cell_angle_gamma 90.00
_space_group_name_H-M_alt 'C 1 2/c 1'
_space_group_IT_number 15
loop_
_space_group_symop_operation_xyz
'x,y,z'
'-x,-y,-z'
'-x,y,-z+1/2'
'x,-y,z+1/2'
'x+1/2,y+1/2,z'
'-x+1/2,-y+1/2,-z'
'-x+1/2,y+1/2,-z+1/2'
'x+1/2,-y+1/2,z+1/2'
loop_
_atom_site_label
_atom_site_fract_x
_atom_site_fract_y
_atom_site_fract_z
La1 0.000 0.083 0.250
La2 0.140 0.181 0.660
La3 0.179 0.314 0.335
Sm1 0.000 0.500 0.000
Sm2 0.174 0.266 0.022
Dy1 0.000 0.401 0.750

Most stable structure: #x

#w
# GGA-PBE LaSm6Dy3, relaxed
# Calculated density in Mg/m³: 7.6
# Density of states at the Fermi level in states/eV/atom: 1.482
data_LaSm6Dy3
_cell_length_a 11.064
_cell_length_b 19.209
_cell_length_c 6.302
_cell_angle_alpha 90.00
_cell_angle_beta 90.00
_cell_angle_gamma 90.00
_space_group_name_H-M_alt 'C m c 21'
_space_group_IT_number 36
loop_
_space_group_symop_operation_xyz
'x,y,z'
'-x,-y,z+1/2'
'-x,y,z'
'x,-y,z+1/2'
'x+1/2,y+1/2,z'
'-x+1/2,-y+1/2,z+1/2'
'-x+1/2,y+1/2,z'
'x+1/2,-y+1/2,z+1/2'
loop_
_atom_site_label
_atom_site_fract_x
_atom_site_fract_y
_atom_site_fract_z
La1 0.000 0.192 0.000
Sm1 0.000 0.038 0.225
Sm2 0.000 0.281 0.461
Sm3 0.167 0.459 0.557
Sm4 0.238 0.291 0.729
Dy1 0.000 0.384 0.017
Dy2 0.175 0.115 0.640

#x
# GGA-PBE LaSm6Dy3, relaxed
# Calculated density in Mg/m³: 7.5
# Density of states at the Fermi level in states/eV/atom: 2.062
data_LaSm6Dy3
_cell_length_a 9.9500
_cell_length_b 9.9500
_cell_length_c 11.9104
_cell_angle_alpha 90.00
_cell_angle_beta 90.00
_cell_angle_gamma 120.00
_space_group_name_H-M_alt 'R 3'
_space_group_IT_number 146
_space_group_name_Hall 'R 3'
loop_
_atom_site_label
_atom_site_fract_x
_atom_site_fract_y
_atom_site_fract_z
La1 0.0000 0.0000 0.0000
Sm1 0.9998 0.3299 0.0003
Sm2 0.9997 0.6736 0.5004
Dy1 0.0000 0.0000 0.2540
Dy2 0.0000 0.0000 0.5001
Dy3 0.0000 0.0000 0.7463

Most stable structure: #w

#w
# GGA-PBE La4Sm2Dy5, relaxed
# Calculated density in Mg/m³: 7.4
# Density of states at the Fermi level in states/eV/atom: 1.545
data_La4Sm2Dy5
_cell_length_a 17.860
_cell_length_b 3.558
_cell_length_c 11.815
_cell_angle_alpha 90.00
_cell_angle_beta 94.53
_cell_angle_gamma 90.00
_space_group_name_H-M_alt 'C 1 2/m 1'
_space_group_IT_number 12
loop_
_space_group_symop_operation_xyz
'x,y,z'
'-x,-y,-z'
'-x,y,-z'
'x,-y,z'
'x+1/2,y+1/2,z'
'-x+1/2,-y+1/2,-z'
'-x+1/2,y+1/2,-z'
'x+1/2,-y+1/2,z'
loop_
_atom_site_label
_atom_site_fract_x
_atom_site_fract_y
_atom_site_fract_z
La1 0.037 0.000 0.261
La2 0.141 0.500 0.797
Sm1 0.215 0.500 0.355
Dy1 0.000 0.500 0.000
Dy2 0.097 0.000 0.540
Dy3 0.178 0.000 0.069

#x
# GGA-PBE La4Sm2Dy5, relaxed
# Calculated density in Mg/m³: 7.3
# Density of states at the Fermi level in states/eV/atom: 1.634
data_La4Sm2Dy5
_cell_length_a 24.494
_cell_length_b 3.552
_cell_length_c 8.765
_cell_angle_alpha 90.00
_cell_angle_beta 94.02
_cell_angle_gamma 90.00
_space_group_name_H-M_alt 'C 1 2/m 1'
_space_group_IT_number 12
loop_
_space_group_symop_operation_xyz
'x,y,z'
'-x,-y,-z'
'-x,y,-z'
'x,-y,z'
'x+1/2,y+1/2,z'
'-x+1/2,-y+1/2,-z'
'-x+1/2,y+1/2,-z'
'x+1/2,-y+1/2,z'
loop_
_atom_site_label
_atom_site_fract_x
_atom_site_fract_y
_atom_site_fract_z
La1 0.041 0.000 0.341
La2 0.090 0.500 0.698
Sm1 0.226 0.500 0.827
Dy1 0.000 0.500 0.000
Dy2 0.132 0.000 0.051
Dy3 0.188 0.000 0.471

Most stable structure: #w

#w
# GGA-PBE La3Sm2Dy8, relaxed
# Calculated density in Mg/m³: 7.5
# Density of states at the Fermi level in states/eV/atom: 1.817
data_La3Sm2Dy8
_cell_length_a 7.741
_cell_length_b 20.410
_cell_length_c 5.672
_cell_angle_alpha 90.00
_cell_angle_beta 90.00
_cell_angle_gamma 90.00
_space_group_name_H-M_alt 'C m m m'
_space_group_IT_number 65
_space_group_name_Hall '-C 2 2'
loop_
_atom_site_label
_atom_site_fract_x
_atom_site_fract_y
_atom_site_fract_z
La1 0.000 0.000 0.000
La2 0.201 0.500 0.500
Sm1 0.000 0.241 0.000
Dy1 0.000 0.136 0.500
Dy2 0.000 0.329 0.500
Dy3 0.208 0.391 0.000

#x
# GGA-PBE La3Sm2Dy8, relaxed
# Calculated density in Mg/m³: 7.7
# Density of states at the Fermi level in states/eV/atom: 1.521
data_La3Sm2Dy8
_cell_length_a 5.621
_cell_length_b 6.904
_cell_length_c 11.779
_cell_angle_alpha 101.76
_cell_angle_beta 103.74
_cell_angle_gamma 90.04
_space_group_name_H-M_alt 'P -1'
_space_group_IT_number 2
loop_
_space_group_symop_operation_xyz
'x,y,z'
'-x,-y,-z'
loop_
_atom_site_label
_atom_site_fract_x
_atom_site_fract_y
_atom_site_fract_z
La1 0.000 0.000 0.000
La2 0.488 0.705 0.977
Sm1 0.228 0.808 0.456
Dy1 0.078 0.595 0.155
Dy2 0.178 0.261 0.355
Dy3 0.332 0.485 0.665
Dy4 0.375 0.025 0.750

Most stable structure: #x